No. 1
VASP calculation (PBE-GGA) on a relaxed structure of Li3Mg2Au2.

Unit cell a=7.8479 b=4.5881 c=7.1850 alpha=90.00 beta=112.48 gamma=90.00
Atoms (fractional coordinates):
Li 0.0000 0.0000 0.0000
Li 0.1430 0.0000 0.4222
Li 0.3570 0.5000 0.5778
Li 0.5000 0.5000 0.0000
Li 0.6430 0.5000 0.4222
Li 0.8570 0.0000 0.5778
Mg 0.2166 0.5000 0.1462
Mg 0.2834 0.0000 0.8538
Mg 0.7166 0.0000 0.1462
Mg 0.7834 0.5000 0.8538
Au 0.0720 0.5000 0.7221
Au 0.4280 0.0000 0.2779
Au 0.5720 0.0000 0.7221
Au 0.9280 0.5000 0.2779

Values from the calculation:
As for the density of states at the Fermi level: 6.52 states/eV per cell. For the energy relative to the lowest polymorph listed for this composition, the calculation gives 0.0 kJ/mol of atoms.

No. 2
VASP calculation (PBE-GGA) on a relaxed structure of LiMg2Au3.

Unit cell a=3.2507 b=3.2507 c=9.7226 alpha=90.00 beta=90.00 gamma=90.00
Atoms (fractional coordinates):
Li 0.0000 0.0000 0.0000
Mg 0.0000 0.0000 0.3265
Mg 0.0000 0.0000 0.6735
Au 0.5000 0.5000 0.1551
Au 0.5000 0.5000 0.5000
Au 0.5000 0.5000 0.8449

Values from the calculation:
For the calculated total energy, the calculation gives -3.076 eV per atom. As for the density of states at the Fermi level: 1.59 states/eV per cell.

No. 3
VASP calculation (PBE-GGA) on a relaxed structure of Li5Mg2Au.

Unit cell a=4.7071 b=4.7071 c=12.9045 alpha=90.00 beta=90.00 gamma=90.00
Atoms (fractional coordinates):
Li 0.0000 0.0000 0.0000
Li 0.0000 0.5000 0.1107
Li 0.0000 0.5000 0.3893
Li 0.0000 0.5000 0.6107
Li 0.0000 0.5000 0.8893
Li 0.5000 0.0000 0.1107
Li 0.5000 0.0000 0.3893
Li 0.5000 0.0000 0.6107
Li 0.5000 0.0000 0.8893
Li 0.5000 0.5000 0.5000
Mg 0.0000 0.0000 0.2617
Mg 0.0000 0.0000 0.7383
Mg 0.5000 0.5000 0.2383
Mg 0.5000 0.5000 0.7617
Au 0.0000 0.0000 0.5000
Au 0.5000 0.5000 0.0000

Values from the calculation:
For the calculated total energy, the calculation gives -2.218 eV per atom. As for the density of states at the Fermi level: 7.08 states/eV per cell.

No. 4
VASP calculation (PBE-GGA) on a relaxed structure of Li3MgAu.

Unit cell a=7.4166 b=7.4166 c=5.0294 alpha=90.00 beta=90.00 gamma=137.62
Atoms (fractional coordinates):
Li 0.0000 0.0000 0.0000
Li 0.0000 0.0000 0.5000
Li 0.0567 0.4206 0.2500
Li 0.4206 0.0567 0.7500
Li 0.5794 0.9433 0.2500
Li 0.9433 0.5794 0.7500
Mg 0.4122 0.5878 0.7500
Mg 0.5878 0.4122 0.2500
Au 0.1583 0.8417 0.2500
Au 0.8417 0.1583 0.7500

Values from the calculation:
As for the density of states at the Fermi level: 3.53 states/eV per cell. For the energy relative to the lowest polymorph listed for this composition, the calculation gives 4.4 kJ/mol of atoms.

No. 5
VASP calculation (PBE-GGA) on a relaxed structure of Li2MgAu3.

Unit cell a=3.1511 b=3.1511 c=9.7184 alpha=90.00 beta=90.00 gamma=90.00
Atoms (fractional coordinates):
Li 0.0000 0.0000 0.1564
Li 0.0000 0.0000 0.8436
Mg 0.0000 0.0000 0.5000
Au 0.5000 0.5000 0.0000
Au 0.5000 0.5000 0.3183
Au 0.5000 0.5000 0.6817

Values from the calculation:
As for the density of states at the Fermi level: 1.33 states/eV per cell. For the energy relative to the lowest polymorph listed for this composition, the calculation gives 0.5 kJ/mol of atoms.

No. 6
VASP calculation (PBE-GGA) on a relaxed structure of Li4MgAu.

Unit cell a=4.6364 b=7.9108 c=5.5562 alpha=90.00 beta=90.00 gamma=90.00
Atoms (fractional coordinates):
Li 0.0000 0.1665 0.2280
Li 0.0000 0.1665 0.7720
Li 0.0000 0.8335 0.2280
Li 0.0000 0.8335 0.7720
Li 0.5000 0.3335 0.2280
Li 0.5000 0.3335 0.7720
Li 0.5000 0.6665 0.2280
Li 0.5000 0.6665 0.7720
Mg 0.0000 0.5000 0.5000
Mg 0.5000 0.0000 0.5000
Au 0.0000 0.5000 0.0000
Au 0.5000 0.0000 0.0000

Values from the calculation:
As for the density of states at the Fermi level: 4.81 states/eV per cell. For the energy relative to the lowest polymorph listed for this composition, the calculation gives 0.0 kJ/mol of atoms.

No. 7
VASP calculation (PBE-GGA) on a relaxed structure of LiMgAu6.

Unit cell a=4.1192 b=4.1192 c=8.1778 alpha=90.00 beta=90.00 gamma=90.00
Atoms (fractional coordinates):
Li 0.0000 0.0000 0.0000
Mg 0.0000 0.0000 0.5000
Au 0.0000 0.5000 0.2462
Au 0.0000 0.5000 0.7538
Au 0.5000 0.0000 0.2462
Au 0.5000 0.0000 0.7538
Au 0.5000 0.5000 0.0000
Au 0.5000 0.5000 0.5000

Values from the calculation:
As for the density of states at the Fermi level: 2.14 states/eV per cell. For the energy relative to the lowest polymorph listed for this composition, the calculation gives 0.0 kJ/mol of atoms.

No. 8
VASP calculation (PBE-GGA) on a relaxed structure of Li4Mg3Au.

Unit cell a=4.2559 b=4.2559 c=16.4466 alpha=90.00 beta=90.00 gamma=90.00
Atoms (fractional coordinates):
Li 0.0000 0.5000 0.1148
Li 0.0000 0.5000 0.3852
Li 0.0000 0.5000 0.6148
Li 0.0000 0.5000 0.8852
Li 0.5000 0.0000 0.1148
Li 0.5000 0.0000 0.3852
Li 0.5000 0.0000 0.6148
Li 0.5000 0.0000 0.8852
Mg 0.0000 0.0000 0.0000
Mg 0.0000 0.0000 0.2490
Mg 0.0000 0.0000 0.7510
Mg 0.5000 0.5000 0.2510
Mg 0.5000 0.5000 0.5000
Mg 0.5000 0.5000 0.7490
Au 0.0000 0.0000 0.5000
Au 0.5000 0.5000 0.0000

Values from the calculation:
As for the density of states at the Fermi level: 5.24 states/eV per cell. For the energy relative to the lowest polymorph listed for this composition, the calculation gives 1.3 kJ/mol of atoms.